The following is a DFT calculation (meta-GGA SCAN) of a crystal of ReOs3N relaxed with PBEsol.

Lattice parameters (Å, degrees): 4.002 4.002 4.002 90.00 90.00 90.00
Positions (direct):
Os 0.500 0.000 0.000
Os 0.000 0.500 0.000
Os 0.000 0.000 0.500
N 0.000 0.000 0.000
Re 0.500 0.500 0.500

As for the space group: Pm-3m (221). The polymorph energy (0 for the lowest one) comes out at 0 meV/atom. For the density of states at the Fermi level, the calculation gives 0.9910 states/eV per atom. The value obtained for the mass density is 19.98 g/cm³.